# 1
# Y2CrRu, optimized geometry, DFT PBE
data_Y2CrRu
_cell_length_a 7.716
_cell_length_b 7.716
_cell_length_c 6.243
_cell_angle_alpha 90.00
_cell_angle_beta 90.00
_cell_angle_gamma 90.00
_space_group_name_H-M_alt 'I -4 2 d'
_space_group_IT_number 122
_space_group_name_Hall 'I -4 2bw'
loop_
_atom_site_label
_atom_site_type_symbol
_atom_site_fract_x
_atom_site_fract_y
_atom_site_fract_z
Y1 Y 0.218 0.250 0.125
Cr1 Cr 0.000 0.000 0.500
Ru1 Ru 0.000 0.000 0.000
# - Electronic total energy: -0.276 Ha/atom
# - Total magnetization: 16.3 μB per cell
# - Formation energy from the elements: 171 kJ/mol of formula units



# 2
# EuHoGaRh, optimized geometry, DFT PBE
data_EuHoGaRh
_cell_length_a 7.093
_cell_length_b 7.093
_cell_length_c 7.093
_cell_angle_alpha 90.00
_cell_angle_beta 90.00
_cell_angle_gamma 90.00
_space_group_name_H-M_alt 'F -4 3 m'
_space_group_IT_number 216
_space_group_name_Hall 'F -4 2 3'
loop_
_atom_site_label
_atom_site_type_symbol
_atom_site_fract_x
_atom_site_fract_y
_atom_site_fract_z
Eu1 Eu 0.000 0.000 0.000
Ho1 Ho 0.000 0.000 0.500
Ga1 Ga 0.250 0.250 0.750
Rh1 Rh 0.250 0.250 0.250
# - Electronic total energy: -0.250 Ha/atom
# - Total magnetization: 27.6 μB per cell
# - Formation energy from the elements: -196 kJ/mol of formula units



# 3
# Er7TmIn2, optimized geometry, DFT PBE
data_Er7TmIn2
_cell_length_a 9.050
_cell_length_b 15.378
_cell_length_c 5.315
_cell_angle_alpha 90.00
_cell_angle_beta 90.00
_cell_angle_gamma 90.00
_space_group_name_H-M_alt 'C m m m'
_space_group_IT_number 65
_space_group_name_Hall '-C 2 2'
loop_
_atom_site_label
_atom_site_type_symbol
_atom_site_fract_x
_atom_site_fract_y
_atom_site_fract_z
Er1 Er 0.000 0.000 0.000
Er2 Er 0.000 0.275 0.500
Er3 Er 0.181 0.380 0.000
Tm1 Tm 0.000 0.500 0.500
In1 In 0.000 0.196 0.000
# - Electronic total energy: -0.141 Ha/atom
# - Total magnetization: 0.0 μB per cell
# - Formation energy from the elements: 345 kJ/mol of formula units



# 4
# Ba2HfSnO6, optimized geometry, DFT PBE
data_Ba2HfSnO6
_cell_length_a 8.384
_cell_length_b 8.384
_cell_length_c 8.384
_cell_angle_alpha 90.00
_cell_angle_beta 90.00
_cell_angle_gamma 90.00
_space_group_name_H-M_alt 'F m -3 m'
_space_group_IT_number 225
_space_group_name_Hall '-F 4 2 3'
loop_
_atom_site_label
_atom_site_type_symbol
_atom_site_fract_x
_atom_site_fract_y
_atom_site_fract_z
Ba1 Ba 0.250 0.250 0.250
Hf1 Hf 0.000 0.000 0.000
Sn1 Sn 0.000 0.000 0.500
O1 O 0.000 0.000 0.249
# - Electronic total energy: -0.277 Ha/atom
# - E_form (uncorrected): -27.9 eV/f.u.
# - Total magnetization: 0.0 μB per cell